Record 1
AcPr3Dy2Te6: relaxed, PBE.

## Properties
The calculation puts the total energy at -5.264 eV/atom. The space group is C2/m (12). The calculated volume is 388.8 Å³/cell.

Cell and atoms, written as POSCAR:
```
AcPr3Dy2Te6
1.0
3.888 -6.762 0.000
3.888 6.762 0.000
-2.606 0.000 7.393
Ac Pr Dy Te
1 3 2 6
Direct
0.000 0.000 0.000 Ac
0.153 0.847 0.500 Pr
0.500 0.500 0.500 Pr
0.847 0.153 0.500 Pr
0.332 0.668 0.000 Dy
0.668 0.332 0.000 Dy
0.082 0.434 0.249 Te
0.274 0.274 0.766 Te
0.434 0.082 0.249 Te
0.566 0.918 0.751 Te
0.726 0.726 0.234 Te
0.918 0.566 0.751 Te
```

=====

Record 2
PaBi2Te: relaxed, PBE.

## Properties
For the energy relative to the lowest polymorph listed for this composition, the calculation gives 1.42 eV/f.u. The space group is R-3m (166). The calculated volume is 126.3 Å³/cell.

Cell and atoms, written as POSCAR:
```
PaBi2Te
1.0
1.662 0.960 13.201
-1.662 0.960 13.201
0.000 -1.919 13.201
Pa Bi Te
1 2 1
Direct
0.000 0.000 0.000 Pa
0.406 0.406 0.406 Bi
0.594 0.594 0.594 Bi
0.500 0.500 0.500 Te
```

=====

Record 3
ErScPaSn: relaxed, PBE.

## Properties
The formation energy comes out at -22 meV/atom. The space group is F-43m (216). The calculated volume is 98.9 Å³/cell.

Cell and atoms, written as POSCAR:
```
ErScPaSn
1.0
0.000 3.670 3.670
3.670 0.000 3.670
3.670 3.670 0.000
Er Sc Pa Sn
1 1 1 1
Direct
0.000 0.000 0.000 Er
0.500 0.500 0.500 Sc
0.750 0.750 0.750 Pa
0.250 0.250 0.250 Sn
```

=====

Record 4
GeTePd4: relaxed, PBE.

## Properties
For the energy relative to the lowest polymorph listed for this composition, the calculation gives 0.00 eV/f.u. The space group is Pnma (62). The calculated volume is 415.1 Å³/cell.

Cell and atoms, written as POSCAR:
```
GeTePd4
1.0
6.501 0.000 0.000
0.000 3.975 0.000
0.000 0.000 16.064
Ge Te Pd
4 4 16
Direct
0.182 0.250 0.192 Ge
0.318 0.750 0.692 Ge
0.682 0.250 0.308 Ge
0.818 0.750 0.808 Ge
0.186 0.750 0.442 Te
0.314 0.250 0.942 Te
0.686 0.750 0.058 Te
0.814 0.250 0.558 Te
0.038 0.750 0.937 Pd
0.064 0.250 0.334 Pd
0.107 0.250 0.787 Pd
0.230 0.250 0.604 Pd
0.270 0.750 0.104 Pd
0.393 0.750 0.287 Pd
0.436 0.750 0.834 Pd
0.462 0.250 0.437 Pd
0.538 0.750 0.563 Pd
0.564 0.250 0.166 Pd
0.607 0.250 0.713 Pd
0.730 0.250 0.896 Pd
0.770 0.750 0.396 Pd
0.893 0.750 0.213 Pd
0.936 0.750 0.666 Pd
0.962 0.250 0.063 Pd
```